{"formula": "AlFeHg2", "functional": "PBE", "state": "relaxed", "final_energy_ev_per_atom": -2.990, "m_tot_mub_per_cell": 2.02, "vol_a3_per_cell": 73.8, "space_group": "P4mm (99)", "lattice_angstrom": [[2.955, 0.000, 0.000], [0.000, 2.955, 0.000], [0.000, 0.000, 8.452]], "species": ["Al", "Fe", "Hg", "Hg"], "fractional_positions": [[0.000, 0.000, 0.000], [0.500, 0.500, 0.168], [0.000, 0.000, 0.398], [0.500, 0.500, 0.721]]}

=====

{"formula": "SmTm2Pb3", "functional": "PBE", "state": "relaxed", "polymorph_energy_ev_per_atom": 0.044, "final_energy_ev_per_atom": -4.558, "m_tot_mub_per_cell": 0.00, "vol_a3_per_cell": 349.9, "space_group": "Pmc2_1 (26)", "lattice_angstrom": [[4.834, 0.000, 0.000], [0.000, 10.139, 0.000], [0.000, 0.000, 7.139]], "species": ["Sm", "Sm", "Tm", "Tm", "Tm", "Tm", "Pb", "Pb", "Pb", "Pb", "Pb", "Pb"], "fractional_positions": [[0.000, 0.068, 0.000], [0.000, 0.932, 0.500], [0.000, 0.288, 0.500], [0.000, 0.712, 0.000], [0.500, 0.499, 0.248], [0.500, 0.501, 0.748], [0.000, 0.398, 0.998], [0.000, 0.602, 0.498], [0.500, 0.159, 0.279], [0.500, 0.159, 0.721], [0.500, 0.841, 0.221], [0.500, 0.841, 0.779]]}

=====

{"formula": "Ba9NaRh3", "functional": "PBE", "state": "relaxed", "final_energy_ev_per_atom": -3.255, "m_tot_mub_per_cell": 0.00, "vol_a3_per_cell": 1259.2, "space_group": "P2_1/m (11)", "lattice_angstrom": [[8.056, 0.000, 0.000], [0.000, 11.979, 0.000], [-1.263, 0.000, 13.048]], "species": ["Ba", "Ba", "Ba", "Ba", "Ba", "Ba", "Ba", "Ba", "Ba", "Ba", "Ba", "Ba", "Ba", "Ba", "Ba", "Ba", "Ba", "Ba", "Na", "Na", "Rh", "Rh", "Rh", "Rh", "Rh", "Rh"], "fractional_positions": [[0.056, 0.250, 0.202], [0.163, 0.565, 0.376], [0.163, 0.935, 0.376], [0.184, 0.250, 0.845], [0.235, 0.551, 0.043], [0.235, 0.949, 0.043], [0.351, 0.553, 0.700], [0.351, 0.947, 0.700], [0.369, 0.250, 0.515], [0.631, 0.750, 0.485], [0.649, 0.053, 0.300], [0.649, 0.447, 0.300], [0.765, 0.051, 0.957], [0.765, 0.449, 0.957], [0.816, 0.750, 0.155], [0.837, 0.065, 0.624], [0.837, 0.435, 0.624], [0.944, 0.750, 0.798], [0.480, 0.250, 0.090], [0.520, 0.750, 0.910], [0.053, 0.004, 0.823], [0.053, 0.496, 0.823], [0.500, 0.000, 0.500], [0.500, 0.500, 0.500], [0.947, 0.504, 0.177], [0.947, 0.996, 0.177]]}

=====

{"formula": "Ca2MnSi3Ir4", "functional": "PBE", "state": "relaxed", "final_energy_ev_per_atom": -7.254, "formation_energy_uncorrected_ev_per_fu": -7.65, "m_tot_mub_per_cell": 3.43, "vol_a3_per_cell": 171.9, "space_group": "P-4m2 (115)", "lattice_angstrom": [[4.106, 0.000, 0.000], [0.000, 4.106, 0.000], [0.000, 0.000, 10.198]], "species": ["Ca", "Ca", "Mn", "Si", "Si", "Si", "Ir", "Ir", "Ir", "Ir"], "fractional_positions": [[0.000, 0.500, 0.247], [0.500, 0.000, 0.753], [0.000, 0.000, 0.500], [0.000, 0.500, 0.875], [0.500, 0.000, 0.125], [0.500, 0.500, 0.500], [0.000, 0.000, 0.000], [0.000, 0.500, 0.637], [0.500, 0.000, 0.363], [0.500, 0.500, 0.000]]}